# 1
A relaxed CaOsCl crystal, computed with GGA-PBE.

Cell lengths 4.3003, 4.3003, 3.5538 Å; angles 90.00, 90.00, 120.00 degrees
Atoms (fractional coordinates):
Ca  0.0000  0.0000  0.0000
Os  0.6667  0.3333  0.5000
Cl  0.3333  0.6667  0.5000

Summary:
N(E_F) ... 0.97 states/eV/atom
Distance to the lowest polymorph of the same formula ... 55 kJ/mol of formula units
Crystal system ... hexagonal
ΔE_f (raw) ... 0.3873 eV/atom
Calculated total energy ... -4.6387 eV/atom
Spin magnetization ... 0.000 μB/f.u.


# 2
A relaxed CaOs2Cl crystal, computed with GGA-PBE.

Cell lengths 4.0320, 4.0320, 7.7523 Å; angles 106.29, 106.29, 59.94 degrees
Atoms (fractional coordinates):
Ca  0.0000  0.0000  0.0000
Os  0.4600  0.4600  0.3536
Os  0.7711  0.7711  0.2921
Cl  0.2604  0.2604  0.7979

Summary:
N(E_F) ... 0.56 states/eV/atom
Distance to the lowest polymorph of the same formula ... 0 kJ/mol of formula units
Crystal system ... monoclinic
ΔE_f (raw) ... -0.0762 eV/atom
Calculated total energy ... -6.6532 eV/atom
Spin magnetization ... 0.000 μB/f.u.


# 3
A relaxed CaOs2Cl crystal, computed with GGA-PBE.

Cell lengths 6.7477, 6.7477, 6.7477 Å; angles 149.01, 149.01, 44.40 degrees
Atoms (fractional coordinates):
Ca  0.0000  0.0000  0.0000
Os  0.2500  0.7500  0.5000
Os  0.7500  0.2500  0.5000
Cl  0.5000  0.5000  0.0000

Summary:
N(E_F) ... 1.14 states/eV/atom
Distance to the lowest polymorph of the same formula ... 112 kJ/mol of formula units
Crystal system ... tetragonal
ΔE_f (raw) ... 0.2148 eV/atom
Calculated total energy ... -6.3621 eV/atom
Spin magnetization ... 0.000 μB/f.u.


# 4
A relaxed CaOsCl crystal, computed with GGA-PBE.

Cell lengths 4.6032, 4.6032, 4.6032 Å; angles 60.00, 60.00, 60.00 degrees
Atoms (fractional coordinates):
Ca  0.0000  0.0000  0.0000
Os  0.5000  0.5000  0.5000
Cl  0.2500  0.2500  0.2500

Summary:
N(E_F) ... 0.55 states/eV/atom
Distance to the lowest polymorph of the same formula ... 165 kJ/mol of formula units
Crystal system ... cubic
ΔE_f (raw) ... 0.7668 eV/atom
Calculated total energy ... -4.2592 eV/atom
Spin magnetization ... 2.680 μB/f.u.


# 5
A relaxed CaOs2Cl crystal, computed with GGA-PBE.

Cell lengths 3.0765, 6.0750, 4.2441 Å; angles 90.00, 91.59, 90.00 degrees
Atoms (fractional coordinates):
Ca  0.0000  0.0000  0.0000
Os  0.3084  0.5000  0.2434
Os  0.6916  0.5000  0.7566
Cl  0.5000  0.0000  0.5000

Summary:
N(E_F) ... 0.85 states/eV/atom
Distance to the lowest polymorph of the same formula ... 121 kJ/mol of formula units
Crystal system ... monoclinic
ΔE_f (raw) ... 0.2364 eV/atom
Calculated total energy ... -6.3405 eV/atom
Spin magnetization ... 0.000 μB/f.u.


# 6
A relaxed CaOs2Cl crystal, computed with GGA-PBE.

Cell lengths 4.6130, 4.6130, 4.6130 Å; angles 60.00, 60.00, 60.00 degrees
Atoms (fractional coordinates):
Ca  0.0000  0.0000  0.0000
Os  0.2500  0.2500  0.2500
Os  0.7500  0.7500  0.7500
Cl  0.5000  0.5000  0.5000

Summary:
N(E_F) ... 1.58 states/eV/atom
Distance to the lowest polymorph of the same formula ... 667 kJ/mol of formula units
Crystal system ... cubic
ΔE_f (raw) ... 1.6509 eV/atom
Calculated total energy ... -4.9261 eV/atom
Spin magnetization ... 0.000 μB/f.u.


# 7
A relaxed CaOs2Cl crystal, computed with GGA-PBE.

Cell lengths 8.4631, 8.4631, 8.4631 Å; angles 146.26, 146.26, 48.46 degrees
Atoms (fractional coordinates):
Ca  0.0000  0.0000  0.0000
Ca  0.7500  0.2500  0.5000
Os  0.3431  0.1250  0.7181
Os  0.3750  0.6569  0.7819
Os  0.4069  0.6250  0.2819
Os  0.8750  0.5931  0.2181
Cl  0.2500  0.7500  0.5000
Cl  0.5000  0.5000  0.0000

Summary:
N(E_F) ... 0.57 states/eV/atom
Distance to the lowest polymorph of the same formula ... 357 kJ/mol of formula units
Crystal system ... tetragonal
ΔE_f (raw) ... 0.8494 eV/atom
Calculated total energy ... -5.7275 eV/atom
Spin magnetization ... 0.000 μB/f.u.


# 8
A relaxed CaOs2Cl crystal, computed with GGA-PBE.

Cell lengths 2.8048, 2.8048, 8.8181 Å; angles 90.00, 90.00, 90.00 degrees
Atoms (fractional coordinates):
Ca  0.0000  0.0000  0.0000
Os  0.5000  0.5000  0.2684
Os  0.5000  0.5000  0.7316
Cl  0.0000  0.0000  0.5000

Summary:
N(E_F) ... 1.13 states/eV/atom
Distance to the lowest polymorph of the same formula ... 471 kJ/mol of formula units
Crystal system ... tetragonal
ΔE_f (raw) ... 1.1440 eV/atom
Calculated total energy ... -5.4329 eV/atom
Spin magnetization ... 0.000 μB/f.u.